# 1
## Hf2CrPtC (PBE)

Data for a relaxed Hf2CrPtC crystal.

Cell and atoms, written as POSCAR:
```
Hf2CrPtC
1.0
-2.734 -3.561 -0.269
2.021 -1.263 -3.814
2.476 -2.052 1.992
C Cr Hf Pt
1 1 2 1
Direct
0.000 0.000 0.000
0.000 0.000 0.500
0.500 0.000 0.000
0.000 0.500 0.000
0.500 0.500 0.500
```

Calculated values
* M_tot: 0.090 Bohr magnetons per cell
* space-group type: P4/mmm
* energy: -9.597 eV per atom

---

# 2
## Zr2CoBr (PBE)

Data for a relaxed Zr2CoBr crystal.

Cell and atoms, written as POSCAR:
```
Zr2CoBr
1.0
-0.721 5.221 -7.683
-3.935 4.883 -6.891
-2.107 7.259 -5.447
Zr Br Co
2 1 1
Direct
0.246 0.246 0.246
0.010 0.010 0.010
0.507 0.507 0.507
0.736 0.736 0.736
```

Calculated values
* M_tot: 0.000 Bohr magnetons per cell
* space-group type: R3m
* raw formation energy: -0.11 eV per atom
* energy: -6.577 eV per atom

---

# 3
## SrCaTi2 (PBE)

Data for a relaxed SrCaTi2 crystal.

Cell and atoms, written as POSCAR:
```
SrCaTi2
1.0
2.995 0.354 4.601
0.263 4.756 2.752
-2.497 0.498 4.877
Sr Ti Ca
1 2 1
Direct
0.500 0.500 0.500
0.250 0.250 0.250
0.750 0.750 0.750
0.000 0.000 0.000
```

Calculated values
* M_tot: 4.272 Bohr magnetons per cell
* space-group type: Fm-3m
* energy: -3.980 eV per atom

---

# 4
## FeAsPb2 (PBE)

Data for a relaxed FeAsPb2 crystal.

Cell and atoms, written as POSCAR:
```
FeAsPb2
1.0
-2.639 -4.301 -0.878
-0.463 -1.790 -4.777
2.458 -4.276 -1.382
As Fe Pb
1 1 2
Direct
0.500 0.500 0.500
0.750 0.750 0.750
0.000 0.000 0.000
0.250 0.250 0.250
```

Calculated values
* M_tot: 2.904 Bohr magnetons per cell
* space-group type: F-43m
* energy: -4.499 eV per atom

---

- Which value of M_tot does entry 2 give?
  0.000 Bohr magnetons per cell